# 1
{
  "formula": "SmPu5Pt6",
  "functional": "PBE",
  "state": "relaxed",
  "space_group": "C2/m (12)",
  "total_energy_ev_per_atom": -10.17,
  "n_ef_per_ev_atom": 4.0893,
  "crystal_system": "monoclinic",
  "lattice_angstrom": [[7.8760, -3.5202, 0.0000], [7.8760, 3.5202, 0.0000], [-1.5650, 0.0000, 4.7201]],
  "species": ["Sm", "Pu", "Pu", "Pu", "Pu", "Pu", "Pt", "Pt", "Pt", "Pt", "Pt", "Pt"],
  "fractional_positions": [[0.0000, 0.0000, 0.0000], [0.1701, 0.1701, 0.6703], [0.3349, 0.3349, 0.3348], [0.5000, 0.5000, 0.0000], [0.6651, 0.6651, 0.6652], [0.8299, 0.8299, 0.3297], [0.0825, 0.5857, 0.8339], [0.2460, 0.7540, 0.5000], [0.4143, 0.9175, 0.1661], [0.5857, 0.0825, 0.8339], [0.7540, 0.2460, 0.5000], [0.9175, 0.4143, 0.1661]]
}


# 2
{
  "formula": "TbTh3C2",
  "functional": "PBE",
  "state": "relaxed",
  "space_group": "C2/m (12)",
  "total_energy_ev_per_atom": -7.78,
  "n_ef_per_ev_atom": 1.1970,
  "crystal_system": "monoclinic",
  "lattice_angstrom": [[8.2473, -1.8228, 0.0000], [8.2473, 1.8228, 0.0000], [-8.0391, 0.0000, 9.7106]],
  "species": ["Tb", "Tb", "Th", "Th", "Th", "Th", "Th", "Th", "C", "C", "C", "C"],
  "fractional_positions": [[0.1392, 0.1392, 0.1999], [0.8608, 0.8608, 0.8001], [0.1392, 0.1392, 0.6984], [0.3638, 0.3638, 0.5512], [0.3655, 0.3655, 0.0565], [0.6345, 0.6345, 0.9435], [0.6362, 0.6362, 0.4488], [0.8608, 0.8608, 0.3016], [0.2451, 0.2451, 0.1202], [0.2515, 0.2515, 0.6245], [0.7485, 0.7485, 0.3755], [0.7549, 0.7549, 0.8798]]
}


# 3
{
  "formula": "CsVAgCl6",
  "functional": "PBE",
  "state": "relaxed",
  "formation_energy_uncorrected_ev_per_atom": -1.1706,
  "space_group": "P312 (149)",
  "total_energy_ev_per_atom": -3.83,
  "n_ef_per_ev_atom": 0.8353,
  "crystal_system": "trigonal",
  "lattice_angstrom": [[6.8240, 0.0000, 0.0000], [-3.4120, 5.9098, 0.0000], [0.0000, 0.0000, 7.4662]],
  "species": ["Cs", "V", "Ag", "Cl", "Cl", "Cl", "Cl", "Cl", "Cl"],
  "fractional_positions": [[0.0000, 0.0000, 0.0000], [0.6667, 0.3333, 0.5000], [0.3333, 0.6667, 0.5000], [0.3977, 0.0452, 0.6813], [0.3977, 0.3526, 0.3187], [0.6474, 0.0452, 0.3187], [0.6474, 0.6023, 0.6813], [0.9548, 0.3526, 0.6813], [0.9548, 0.6023, 0.3187]]
}


# 4
{
  "formula": "PmSmSiIr",
  "functional": "PBE",
  "state": "relaxed",
  "formation_energy_uncorrected_ev_per_atom": -0.7839,
  "space_group": "Amm2 (38)",
  "total_energy_ev_per_atom": -6.72,
  "n_ef_per_ev_atom": 0.5874,
  "crystal_system": "orthorhombic",
  "lattice_angstrom": [[4.0996, 0.0000, 0.0000], [0.0000, 2.1414, 5.3309], [0.0000, -2.1414, 5.3309]],
  "species": ["Pm", "Sm", "Si", "Ir"],
  "fractional_positions": [[0.0000, 0.0000, 0.0000], [0.5000, 0.7168, 0.7168], [0.0000, 0.2947, 0.2947], [0.5000, 0.4304, 0.4304]]
}